The following is a PBE calculation of a geometry-optimized Li5Al2Ga12 structure, from Alexandria.

Computed properties:
ρ   4.6 Mg/m³
Space-group type   C2/m (12)
Total DFT energy (no corrections)   -2.95 eV per atom
Volume   17.5 Å³ per atom

Lattice parameters (Å, degrees): 8.1580 7.5698 6.4037 90.29 90.00 122.61
Fractional positions:
Li1 0.2408 0.4815 0.5809
Li2 0.3159 0.6317 0.0292
Li3 0.0000 0.0000 0.5000
Li4 0.6841 0.3683 0.9708
Li5 0.7592 0.5185 0.4191
Al1 0.7152 0.0000 0.0000
Al2 0.2848 0.0000 0.0000
Ga1 0.8943 0.7887 0.0749
Ga2 0.0285 0.6677 0.7415
Ga3 0.6392 0.6677 0.7415
Ga4 0.1490 0.7482 0.3410
Ga5 0.5992 0.7482 0.3410
Ga6 0.4513 0.9026 0.6865
Ga7 0.5487 0.0974 0.3135
Ga8 0.8510 0.2518 0.6590
Ga9 0.4008 0.2518 0.6590
Ga10 0.9715 0.3323 0.2585
Ga11 0.3608 0.3323 0.2585
Ga12 0.1057 0.2113 0.9251

---

The following is a PBE calculation of a geometry-optimized Li3AlGa3 structure, from Alexandria.

Computed properties:
ρ   3.7 Mg/m³
Space-group type   Pnma (62)
Total DFT energy (no corrections)   -2.92 eV per atom
Volume   16.7 Å³ per atom

Lattice parameters (Å, degrees): 4.3716 12.7583 8.3635 90.00 90.00 90.00
Fractional positions:
Li1 0.7500 0.6828 0.7213
Li2 0.2500 0.8172 0.2213
Li3 0.2500 0.3172 0.2787
Li4 0.7500 0.1828 0.7787
Li5 0.7500 0.1772 0.2234
Li6 0.2500 0.3228 0.7234
Li7 0.2500 0.8228 0.7766
Li8 0.7500 0.6772 0.2766
Li9 0.7500 0.0594 0.5049
Li10 0.2500 0.4406 0.0049
Li11 0.2500 0.9406 0.4951
Li12 0.7500 0.5594 0.9951
Al1 0.7500 0.9449 0.2232
Al2 0.2500 0.5551 0.7232
Al3 0.2500 0.0551 0.7768
Al4 0.7500 0.4449 0.2768
Ga1 0.7500 0.9413 0.7706
Ga2 0.2500 0.5587 0.2706
Ga3 0.2500 0.0587 0.2294
Ga4 0.7500 0.4413 0.7294
Ga5 0.7500 0.8277 0.4947
Ga6 0.2500 0.6723 0.9947
Ga7 0.2500 0.1723 0.5053
Ga8 0.7500 0.3277 0.0053
Ga9 0.7500 0.8000 0.9989
Ga10 0.2500 0.7000 0.4989
Ga11 0.2500 0.2000 0.0011
Ga12 0.7500 0.3000 0.5011

---

Number 1: magnetic moment 0.000 Bohr magnetons per cell. Number 2: magnetic moment 0.000 Bohr magnetons per cell.